Below is a relaxed structure of Ba4PH, with properties calculated at the PBE level.

Calculated values
Its uncorrected energy is -0.235 Ry per atom. As for the density of states at the Fermi level: 5.71 states/eV/cell.

a = 4.5482 Å, b = 7.6758 Å, c = 7.5416 Å
α = 87.91°, β = 90.00°, γ = 90.00°
Atoms (fractional coordinates):
1 Ba 0.5000 0.7688 0.1713
2 Ba 0.0000 0.2362 0.3238
3 Ba 0.0000 0.7638 0.6762
4 H 0.0000 0.0000 0.0000
5 P 0.5000 0.0000 0.5000
6 Ba 0.5000 0.2312 0.8287

Below is a relaxed structure of Mg2CdMo, with properties calculated at the PBE level.

Calculated values
As for the formation energy: 0.70 eV per atom. As for the density of states at the Fermi level: 3.36 states/eV/cell.

a = 7.5727 Å, b = 7.5727 Å, c = 6.0876 Å
α = 51.54°, β = 51.54°, γ = 90.00°
Atoms (fractional coordinates):
1 Mg 0.1212 0.6250 0.2500
2 Cd 0.7500 0.2500 0.5000
3 Mg 0.6288 0.1250 0.2500
4 Mo 0.2500 0.7500 0.5000
5 Mg 0.3750 0.3712 0.7500
6 Cd 0.0000 0.0000 0.0000
7 Mo 0.5000 0.5000 0.0000
8 Mg 0.8750 0.8788 0.7500

Below is a relaxed structure of BeRe2B, with properties calculated at the PBE level.

Calculated values
As for the formation energy: 0.24 eV per atom. As for the density of states at the Fermi level: 2.84 states/eV/cell. For the energy relative to the lowest polymorph listed for this composition, the calculation gives 0.0000 eV/atom.

a = 3.9457 Å, b = 3.9457 Å, c = 3.9457 Å
α = 60.00°, β = 60.00°, γ = 60.00°
Atoms (fractional coordinates):
1 Be 0.0000 0.0000 0.0000
2 Re 0.2500 0.2500 0.2500
3 Re 0.7500 0.7500 0.7500
4 B 0.5000 0.5000 0.5000

Below is a relaxed structure of Mn2AuBr, with properties calculated at the PBE level.

Calculated values
As for the density of states at the Fermi level: 2.25 states/eV/cell. The formation energy (no corrections) is 186 meV/atom. For the energy relative to the lowest polymorph listed for this composition, the calculation gives 0.1215 eV/atom.

a = 3.2695 Å, b = 3.2695 Å, c = 7.2974 Å
α = 90.00°, β = 90.00°, γ = 90.07°
Atoms (fractional coordinates):
1 Mn 0.0000 0.0000 0.0357
2 Mn 0.0000 0.0000 0.4643
3 Br 0.5000 0.5000 0.7500
4 Au 0.5000 0.5000 0.2500

Below is a relaxed structure of Th2Np2S7, with properties calculated at the PBE level.

Calculated values
As for the density of states at the Fermi level: 19.65 states/eV/cell. The formation energy (no corrections) is -1698 meV/atom.

a = 4.0072 Å, b = 8.5299 Å, c = 8.5299 Å
α = 60.73°, β = 76.41°, γ = 76.41°
Atoms (fractional coordinates):
1 S 0.5000 0.0108 0.9892
2 Th 0.7416 0.8443 0.6726
3 S 0.8173 0.0711 0.2943
4 Np 0.5000 0.3303 0.6697
5 S 0.6090 0.5000 0.2820
6 Th 0.2584 0.3274 0.1557
7 S 0.3910 0.7180 0.5000
8 Np 0.0000 0.7848 0.2152
9 S 0.1827 0.7057 0.9289
10 S 0.8621 0.4186 0.8572
11 S 0.1379 0.1428 0.5814

Below is a relaxed structure of Sr2SeS, with properties calculated at the PBE level.

Calculated values
As for the density of states at the Fermi level: 0.00 states/eV/cell. The formation energy (no corrections) is -1812 meV/atom. For the energy relative to the lowest polymorph listed for this composition, the calculation gives 0.2936 eV/atom.

a = 5.3027 Å, b = 5.3027 Å, c = 5.3027 Å
α = 60.00°, β = 60.00°, γ = 60.00°
Atoms (fractional coordinates):
1 S 0.0000 0.0000 0.0000
2 Se 0.5000 0.5000 0.5000
3 Sr 0.2500 0.2500 0.2500
4 Sr 0.7500 0.7500 0.7500